# 1
Crystalline SrHg2Sb2 at its relaxed geometry, computed with PBE.

Cell lengths 4.5900, 4.5900, 14.4638 Å; angles 90.00, 90.00, 90.00 degrees
With the nearest neighbours (Å) after each atom.
Space group I4/mmm (No. 139)
Inequivalent atoms, fractional coordinates:
Sr 0.0000 0.0000 0.0000 x2  8 Sb 3.57
Hg 0.0000 0.5000 0.2500 x4  4 Sb 3.12, 4 Hg 3.25
Sb 0.0000 0.0000 0.3965 x4  1 Sb 2.99, 4 Hg 3.12

Values from the calculation:
energy relative to the elements, uncorrected: -272 meV per atom



# 2
Crystalline YAlIr2 at its relaxed geometry, computed with PBE.

Cell lengths 3.0006, 3.0006, 7.8318 Å; angles 90.00, 90.00, 90.00 degrees
With the nearest neighbours (Å) after each atom.
Space group P4mm (No. 99)
Inequivalent atoms, fractional coordinates:
Y 0.0000 0.0000 0.0000 x1  4 Ir 2.95, 4 Y 3.00, 4 Al 3.27
Al 0.5000 0.5000 0.3170 x1  4 Ir 2.58
Ir 0.0000 0.0000 0.5043 x1  4 Al 2.58, 4 Ir 2.81
Ir 0.5000 0.5000 0.7392 x1  8 Ir 2.81-3.00, 4 Y 2.95

Values from the calculation:
formation energy: -0.2951 eV per atom



# 3
Crystalline V2OsPt at its relaxed geometry, computed with PBE.

Cell lengths 6.8099, 6.8099, 5.3730 Å; angles 90.00, 90.00, 90.00 degrees
With the nearest neighbours (Å) after each atom.
Space group I-42d (No. 122)
Inequivalent atoms, fractional coordinates:
V 0.2357 0.2500 0.1250 x8  2 Os 2.43, 2 Pt 2.57, 2 V 2.69
Os 0.0000 0.0000 0.0000 x4  4 V 2.43, 2 Pt 2.69
Pt 0.0000 0.0000 0.5000 x4  4 V 2.57, 2 Os 2.69

Values from the calculation:
formation energy: 0.2594 eV per atom